Material: ZnCr2Si
Method: DFT, PBE-GGA
State: relaxed

Cell and atoms, written as CIF:
```
data_ZnCr2Si
_chemical_formula_sum 'Zn1 Cr2 Si1'
_space_group_name_H-M_alt 'P 1'
_space_group_IT_number 1
_space_group_name_Hall 'P 1'
_cell_length_a 3.650
_cell_length_b 3.673
_cell_length_c 3.735
_cell_angle_alpha 90.00
_cell_angle_beta 90.00
_cell_angle_gamma 90.00
loop_
_atom_site_label
_atom_site_fract_x
_atom_site_fract_y
_atom_site_fract_z
_atom_site_occupancy
Zn1 0.000 0.000 0.000 1
Cr1 0.000 0.500 0.500 1
Cr2 0.500 0.000 0.500 1
Si1 0.500 0.500 0.000 1
```

Results
Space group   Pmmm
D(E_F)   1.2091 states/eV per atom
Electronic total energy   -25.4 eV/cell